1.
! NdThTe2Se | Alexandria | PBE | optimized geometry; values from VASP
! Space-group type: P4/nmm (129)
! ρ, Mg/m³: 7.7
! Crystal system: tetragonal
! E_form (uncorrected), eV/atom: -1.42
&SYSTEM
  ibrav = 0, nat = 10, ntyp = 4
/
ATOMIC_SPECIES
Se 78.96 Se.upf
Nd 144.24 Nd.upf
Te 127.60 Te.upf
Th 232.04 Th.upf
CELL_PARAMETERS angstrom
-2.6221 -2.1459 2.9635
3.6294 -1.0641 2.4408
-1.5547 12.7967 7.8905
ATOMIC_POSITIONS angstrom
Se -0.7773 6.3983 3.9452
Nd -1.4460 0.0380 2.1668
Te -1.7761 2.7552 3.8422
Se -0.2737 4.7934 6.6474
Te -2.6685 10.1005 8.3714
Te 1.6175 1.0912 2.2213
Te 0.7251 8.4365 6.7504
Th 1.2334 4.2530 4.1709
Nd 0.3950 11.1537 8.4259
Th -2.2844 6.9387 6.4218

2.
! NdTl2TeSe4 | Alexandria | PBE | optimized geometry; values from VASP
! Space-group type: P2/m (10)
! ρ, Mg/m³: 6.7
! Crystal system: monoclinic
! E_form (uncorrected), eV/atom: -0.70
&SYSTEM
  ibrav = 0, nat = 8, ntyp = 4
/
ATOMIC_SPECIES
Se 78.96 Se.upf
Tl 204.38 Tl.upf
Te 127.60 Te.upf
Nd 144.24 Nd.upf
CELL_PARAMETERS angstrom
4.2255 0.0000 0.0000
0.0000 8.0796 -0.2270
0.0000 2.7809 7.1786
ATOMIC_POSITIONS angstrom
Se 4.2255 3.0509 1.5413
Se 2.1128 4.1244 5.0685
Tl 0.0000 2.7809 7.1786
Tl 2.1128 1.3905 3.5893
Se 2.1128 6.7361 1.8831
Te 2.1128 4.0398 -0.1135
Se 0.0001 7.8096 5.4103
Nd 0.0000 5.4302 3.4758

3.
! Nd4TlTe2Se | Alexandria | PBE | optimized geometry; values from VASP
! Space-group type: P2/m (10)
! ρ, Mg/m³: 7.4
! Crystal system: monoclinic
! E_form (uncorrected), eV/atom: -1.27
&SYSTEM
  ibrav = 0, nat = 8, ntyp = 4
/
ATOMIC_SPECIES
Nd 144.24 Nd.upf
Tl 204.38 Tl.upf
Te 127.60 Te.upf
Se 78.96 Se.upf
CELL_PARAMETERS angstrom
4.4204 0.0000 0.0000
0.0000 7.7617 -0.1940
0.0000 2.6926 7.2011
ATOMIC_POSITIONS angstrom
Nd 0.0001 7.7671 5.2477
Tl 2.2102 3.8808 -0.0970
Nd 2.2102 4.0726 5.2770
Te 0.0000 2.6926 7.2011
Nd 2.2103 6.3817 1.7301
Se 0.0000 5.2271 3.5036
Te 2.2102 1.3463 3.6005
Nd 4.4204 2.6872 1.7594

4.
! Nd6Tl3TeSe2 | Alexandria | PBE | optimized geometry; values from VASP
! Space-group type: C2/m (12)
! ρ, Mg/m³: 7.9
! Crystal system: monoclinic
! E_form (uncorrected), eV/atom: -1.01
&SYSTEM
  ibrav = 0, nat = 12, ntyp = 4
/
ATOMIC_SPECIES
Nd 144.24 Nd.upf
Tl 204.38 Tl.upf
Se 78.96 Se.upf
Te 127.60 Te.upf
CELL_PARAMETERS angstrom
-0.7480 -3.6217 -2.0879
-4.0459 -3.5378 7.5861
-6.3304 6.5265 -4.7340
ATOMIC_POSITIONS angstrom
Nd -1.1331 -0.8034 1.7994
Nd -8.1142 -0.0628 3.0158
Tl -2.3970 -3.5798 2.7491
Nd -4.9701 -2.1824 1.2470
Nd -6.1542 1.5493 -0.4828
Nd -3.0101 -0.5703 -2.2515
Se -3.5883 0.4184 0.5597
Te -0.3740 -1.8109 -1.0440
Nd -9.9912 0.1703 -1.0352
Se -7.5360 -1.0515 0.2046
Tl -5.6258 0.7535 -3.6107
Tl -5.4985 -1.3866 4.3749

5.
! Nd6Tl2Te3Se | Alexandria | PBE | optimized geometry; values from VASP
! Space-group type: C2/m (12)
! ρ, Mg/m³: 7.6
! Crystal system: monoclinic
! E_form (uncorrected), eV/atom: -1.14
&SYSTEM
  ibrav = 0, nat = 12, ntyp = 4
/
ATOMIC_SPECIES
Nd 144.24 Nd.upf
Te 127.60 Te.upf
Tl 204.38 Tl.upf
Se 78.96 Se.upf
CELL_PARAMETERS angstrom
-1.9976 2.8489 -2.6109
-5.2172 -6.7704 -3.3959
-4.1297 1.9658 8.9285
ATOMIC_POSITIONS angstrom
Nd -5.5982 -0.5567 3.6758
Te -5.2805 2.5702 3.2207
Tl -7.8977 -0.8329 1.5098
Nd -5.7462 -1.3991 -0.7541
Te -6.0639 -4.5259 -0.2990
Nd -10.0916 -0.3703 3.6932
Te -3.6074 -1.9607 -3.0034
Nd -3.0744 1.9638 0.8711
Nd -8.2701 -3.9196 2.0506
Nd -1.2528 -1.5855 -0.7715
Tl -3.4468 -1.1228 1.4119
Se -0.9988 1.4245 -1.3055

6.
! NdTmTe2Se | Alexandria | PBE | optimized geometry; values from VASP
! Space-group type: P4/nmm (129)
! ρ, Mg/m³: 7.3
! Crystal system: tetragonal
! E_form (uncorrected), eV/atom: -1.38
&SYSTEM
  ibrav = 0, nat = 10, ntyp = 4
/
ATOMIC_SPECIES
Tm 168.93 Tm.upf
Se 78.96 Se.upf
Te 127.60 Te.upf
Nd 144.24 Nd.upf
CELL_PARAMETERS angstrom
-2.8562 -1.5457 -2.8961
0.7370 -4.0428 1.4309
-11.4611 1.6076 10.4454
ATOMIC_POSITIONS angstrom
Tm -10.0577 -0.5589 10.2177
Se -5.7305 0.8038 5.2227
Te -4.7058 -0.3131 1.5392
Te -7.8149 -0.8735 8.1736
Te -0.8508 -1.8504 1.8266
Se -6.7902 -1.9904 4.4901
Te -11.6699 0.6637 7.8862
Tm -2.4630 -0.6277 -0.5049
Nd -8.6734 0.2434 5.1551
Nd -3.8473 -1.4300 4.5577

7.
! NdUTe2Se | Alexandria | PBE | optimized geometry; values from VASP
! Space-group type: P4/nmm (129)
! ρ, Mg/m³: 7.9
! Crystal system: tetragonal
! E_form (uncorrected), eV/atom: -1.07
&SYSTEM
  ibrav = 0, nat = 10, ntyp = 4
/
ATOMIC_SPECIES
Nd 144.24 Nd.upf
Se 78.96 Se.upf
Te 127.60 Te.upf
U 238.03 U.upf
CELL_PARAMETERS angstrom
4.4301 0.0000 0.0000
0.0000 4.4301 0.0000
0.0000 0.0000 15.2719
ATOMIC_POSITIONS angstrom
Nd 2.2151 0.0000 1.3852
Se 0.0000 0.0000 7.6359
Te 0.0000 2.2151 1.8590
U 2.2151 0.0000 9.5035
Nd 0.0000 2.2151 13.8867
Te 0.0000 2.2151 10.6794
Se 2.2151 2.2151 7.6359
U 0.0000 2.2151 5.7684
Te 2.2151 0.0000 4.5925
Te 2.2151 0.0000 13.4129

8.
! NdYTeSe | Alexandria | PBE | optimized geometry; values from VASP
! Space-group type: R3m (160)
! ρ, Mg/m³: 6.4
! Crystal system: trigonal
! E_form (uncorrected), eV/atom: -1.54
&SYSTEM
  ibrav = 0, nat = 4, ntyp = 4
/
ATOMIC_SPECIES
Te 127.60 Te.upf
Nd 144.24 Nd.upf
Y 88.91 Y.upf
Se 78.96 Se.upf
CELL_PARAMETERS angstrom
4.1378 -0.0015 0.0000
-2.0692 3.5854 0.0003
-2.0666 -1.1935 7.6482
ATOMIC_POSITIONS angstrom
Te -1.6784 3.3233 0.8049
Nd 2.4609 0.9328 2.8588
Y -1.6769 0.9335 6.5783
Se 0.3921 -0.2620 4.8230

9.
! NdYTeSe2 | Alexandria | PBE | optimized geometry; values from VASP
! Space-group type: I4mm (107)
! ρ, Mg/m³: 5.5
! Crystal system: tetragonal
! E_form (uncorrected), eV/atom: -1.37
&SYSTEM
  ibrav = 0, nat = 5, ntyp = 4
/
ATOMIC_SPECIES
Y 88.91 Y.upf
Se 78.96 Se.upf
Te 127.60 Te.upf
Nd 144.24 Nd.upf
CELL_PARAMETERS angstrom
-1.6556 4.1864 1.2661
-4.1781 -1.1137 -1.7812
0.9392 -4.2310 6.5813
ATOMIC_POSITIONS angstrom
Y -4.3309 -0.3903 4.2640
Se -3.0892 -1.9195 2.3073
Te -2.9242 1.5264 -0.2343
Se -1.8279 0.7305 3.8310
Nd -0.5338 -0.7273 1.7068

10.
! Nd2ThSe4 | Alexandria | PBE | optimized geometry; values from VASP
! Space-group type: Cmcm (63)
! ρ, Mg/m³: 6.9
! Crystal system: orthorhombic
! Offset from the most stable computed form, eV per atom: 0.052
! E_form (uncorrected), eV/atom: -1.74
&SYSTEM
  ibrav = 0, nat = 14, ntyp = 3
/
ATOMIC_SPECIES
Se 78.96 Se.upf
Th 232.04 Th.upf
Nd 144.24 Nd.upf
CELL_PARAMETERS angstrom
4.1140 0.0000 0.0000
-2.0570 6.9877 0.0000
0.0000 0.0000 13.9784
ATOMIC_POSITIONS angstrom
Se 0.0000 3.1080 12.2099
Se 2.0570 6.6596 10.4838
Th 2.0570 1.7844 10.4838
Se 2.0570 3.8797 5.2207
Se 2.0570 3.8797 1.7685
Se 0.0000 0.3282 3.4946
Nd 0.0000 1.8738 0.9653
Nd 2.0570 5.1140 7.9545
Nd 0.0000 1.8738 6.0239
Se 0.0000 3.1080 8.7577
Nd 2.0570 5.1140 13.0131
Th 0.0000 5.2033 3.4946
Se 2.0570 0.0000 0.0000
Se 2.0570 0.0000 6.9892

11.
! Nd5ThSe7 | Alexandria | PBE | optimized geometry; values from VASP
! Space-group type: Cm (8)
! ρ, Mg/m³: 7.0
! Crystal system: monoclinic
! E_form (uncorrected), eV/atom: -1.80
&SYSTEM
  ibrav = 0, nat = 26, ntyp = 3
/
ATOMIC_SPECIES
Nd 144.24 Nd.upf
Se 78.96 Se.upf
Th 232.04 Th.upf
CELL_PARAMETERS angstrom
-1.5205 -3.2016 -2.1395
3.2105 -2.8133 5.9338
-21.6385 2.4491 11.7134
ATOMIC_POSITIONS angstrom
Nd -0.1402 -2.3372 3.5971
Se -6.0397 -0.7853 5.4676
Nd -7.9768 -1.3431 7.6789
Th -14.9176 -0.0382 10.6591
Se -7.0731 -4.1795 7.2757
Se -13.9083 -2.7786 10.0371
Nd -19.8014 -1.2417 11.9253
Nd -8.2176 -1.1176 3.5070
Se -16.9688 -2.2395 11.4054
Nd -21.6331 2.4417 11.7206
Se -18.7876 1.4323 11.2088
Se -3.2087 -3.2823 7.1922
Th -5.0370 -3.5318 4.8593
Nd -11.7306 -2.4475 11.9994
Se -9.8380 -1.9150 9.8575
Se -19.0145 -0.8447 14.7776
Nd -3.6631 -1.7387 1.1996
Se -16.7346 -0.2883 8.3190
Se -10.1130 -1.6472 5.6467
Se -1.1487 -5.0126 4.3119
Se -12.8760 0.6156 8.2296
Nd -11.9727 -2.2194 7.8245
Nd -16.2807 -1.8381 14.3212
Se -2.9741 -1.3371 4.1146
Nd -9.1294 -4.7880 9.6477
Se -0.9282 -2.7340 0.7453

12.
! NdTh2Se5 | Alexandria | PBE | optimized geometry; values from VASP
! Space-group type: Pbam (55)
! ρ, Mg/m³: 7.7
! Crystal system: orthorhombic
! E_form (uncorrected), eV/atom: -1.71
&SYSTEM
  ibrav = 0, nat = 16, ntyp = 3
/
ATOMIC_SPECIES
Nd 144.24 Nd.upf
Se 78.96 Se.upf
Th 232.04 Th.upf
CELL_PARAMETERS angstrom
-0.2486 0.9470 4.0200
1.4676 -7.7200 1.9093
12.7138 2.4676 0.2048
ATOMIC_POSITIONS angstrom
Nd 7.0907 -2.6262 1.0571
Se 12.3752 -3.7570 3.7794
Se 10.4776 0.5298 0.5230
Th 11.0396 -1.2138 3.0977
Se 5.7789 -3.7316 3.3656
Th 2.8933 -3.0917 3.0364
Se 1.5577 -0.5485 2.3547
Se 3.7038 -5.7822 1.5911
Se 8.1540 -0.5739 2.7685
Nd 0.0000 0.0000 0.0000
Se 6.3569 1.2338 0.1024
Th 4.0032 1.1262 2.1114
Th 9.9296 -5.4317 4.0227
Se 0.7338 -3.8600 0.9547
Se 9.8784 -3.5889 1.4562
Se 4.3031 -1.6635 0.6579

13.
! Nd4ThSe6 | Alexandria | PBE | optimized geometry; values from VASP
! Space-group type: Cmcm (63)
! ρ, Mg/m³: 7.0
! Crystal system: orthorhombic
! E_form (uncorrected), eV/atom: -1.80
&SYSTEM
  ibrav = 0, nat = 22, ntyp = 3
/
ATOMIC_SPECIES
Se 78.96 Se.upf
Nd 144.24 Nd.upf
Th 232.04 Th.upf
CELL_PARAMETERS angstrom
4.1324 0.0000 0.0000
-2.0662 6.9365 0.0000
0.0000 0.0000 21.1491
ATOMIC_POSITIONS angstrom
Se 2.0662 3.7225 8.5641
Se 2.0662 0.0000 0.0000
Nd 2.0662 1.1814 13.2485
Nd 2.0662 4.9865 11.3848
Se 0.0000 4.2759 5.2873
Nd 2.0662 4.9865 20.3389
Se 0.0000 0.7779 3.5863
Se 2.0662 2.6606 15.8619
Nd 0.0000 1.9499 9.7644
Se 0.0000 3.2140 12.5850
Se 2.0662 0.0000 10.5746
Nd 0.0000 5.7551 2.6739
Th 2.0662 2.1678 5.2873
Se 0.0000 3.2140 19.1387
Nd 0.0000 1.9499 0.8102
Se 0.0000 0.7779 6.9883
Se 2.0662 6.1586 17.5629
Nd 2.0662 1.1814 18.4752
Se 2.0662 3.7225 2.0104
Se 2.0662 6.1586 14.1608
Th 0.0000 4.7686 15.8619
Nd 0.0000 5.7551 7.9007

14.
! NdTh4Se6 | Alexandria | PBE | optimized geometry; values from VASP
! Space-group type: Cmcm (63)
! ρ, Mg/m³: 8.5
! Crystal system: orthorhombic
! E_form (uncorrected), eV/atom: -1.65
&SYSTEM
  ibrav = 0, nat = 22, ntyp = 3
/
ATOMIC_SPECIES
Nd 144.24 Nd.upf
Se 78.96 Se.upf
Th 232.04 Th.upf
CELL_PARAMETERS angstrom
-1.8076 -2.3727 -2.7541
7.0481 0.3579 -1.9420
4.1274 -16.9136 11.8627
ATOMIC_POSITIONS angstrom
Nd 7.2655 -13.2475 6.6445
Nd 2.1024 -5.6810 0.5221
Se 2.0552 -5.7316 3.5891
Th 7.4604 -18.0844 7.6915
Se 6.6282 -15.6307 9.1160
Th 3.8062 -16.1509 8.4241
Se 3.9858 -8.4041 1.6320
Se 4.4445 -14.1754 6.3031
Se 8.0017 -16.0202 5.5578
Se 5.3821 -10.5244 5.5347
Th 5.6928 -10.8412 2.6113
Th 5.5617 -2.7775 -1.2574
Se 7.3127 -13.1969 3.5776
Se 4.9234 -4.7531 0.8636
Se -0.9038 -1.1864 -1.3770
Se 2.7397 -3.2978 -1.9494
Th 3.6751 -8.0872 4.5554
Th 1.9075 -0.8440 -0.5248
Se 1.1599 -9.6432 4.5543
Se 1.3662 -2.9083 1.6089
Th 6.6021 -7.0411 1.7329
Th 2.7658 -11.8873 5.4337

15.
! Nd2Th2Se7 | Alexandria | PBE | optimized geometry; values from VASP
! Space-group type: Imm2 (44)
! ρ, Mg/m³: 7.4
! Crystal system: orthorhombic
! E_form (uncorrected), eV/atom: -1.80
&SYSTEM
  ibrav = 0, nat = 11, ntyp = 3
/
ATOMIC_SPECIES
Se 78.96 Se.upf
Nd 144.24 Nd.upf
Th 232.04 Th.upf
CELL_PARAMETERS angstrom
-2.6547 1.8787 2.7327
2.8021 -2.9568 8.0565
5.4092 5.3045 4.9097
ATOMIC_POSITIONS angstrom
Se 3.1284 2.9027 4.3452
Se 1.2684 1.1779 7.0256
Nd 3.2201 3.5134 7.3161
Th 1.0432 0.3588 4.0684
Th 4.0764 2.4830 12.1579
Se 4.0462 6.1309 6.3191
Se -0.3426 2.8951 4.2801
Se 3.5613 4.9147 9.9858
Se 6.4856 3.1898 10.7108
Nd 3.3543 -1.2070 7.3900
Se 3.7314 1.2842 9.3453

16.
! NdTh2Se4 | Alexandria | PBE | optimized geometry; values from VASP
! Space-group type: I2_12_12_1 (24)
! ρ, Mg/m³: 8.6
! Crystal system: orthorhombic
! Offset from the most stable computed form, eV per atom: 0.000
! E_form (uncorrected), eV/atom: -1.67
&SYSTEM
  ibrav = 0, nat = 14, ntyp = 3
/
ATOMIC_SPECIES
Se 78.96 Se.upf
Nd 144.24 Nd.upf
Th 232.04 Th.upf
CELL_PARAMETERS angstrom
-7.3041 -2.1659 1.3593
4.7528 -4.6842 3.9156
0.7489 7.3706 2.2328
ATOMIC_POSITIONS angstrom
Se 3.6615 -1.7071 4.5006
Nd -3.1322 -1.9511 3.6549
Th -5.4424 1.1955 2.7731
Nd -1.5820 0.3457 7.3869
Th 2.0004 0.6269 5.6331
Th 1.1832 -2.6951 3.1799
Se -0.1627 4.7201 3.2975
Se 1.1938 0.6193 2.5976
Se -1.0083 -4.7004 3.8639
Th -1.3466 1.9141 3.4300
Se -3.7621 3.5434 4.0041
Se -0.5696 -1.0142 4.8893
Se -3.7436 0.4942 5.3197
Se -2.8203 0.1283 1.5587

17.
! Nd2ThSe3 | Alexandria | PBE | optimized geometry; values from VASP
! Space-group type: P6_3/mmc (194)
! ρ, Mg/m³: 7.9
! Crystal system: hexagonal
! Offset from the most stable computed form, eV per atom: 0.010
! E_form (uncorrected), eV/atom: -1.71
&SYSTEM
  ibrav = 0, nat = 12, ntyp = 3
/
ATOMIC_SPECIES
Se 78.96 Se.upf
Nd 144.24 Nd.upf
Th 232.04 Th.upf
CELL_PARAMETERS angstrom
4.1295 0.0000 0.0000
-2.0647 3.5762 0.0000
0.0000 0.0000 21.6575
ATOMIC_POSITIONS angstrom
Se 0.0000 2.3841 3.5774
Se 0.0000 2.3841 7.2513
Nd 2.0647 1.1921 1.7877
Th 0.0000 0.0000 16.2431
Se 2.0647 1.1921 18.0801
Se 0.0000 0.0000 0.0000
Nd 0.0000 2.3841 19.8698
Se 0.0000 0.0000 10.8287
Se 2.0647 1.1921 14.4062
Th 0.0000 0.0000 5.4144
Nd 0.0000 2.3841 12.6164
Nd 2.0647 1.1921 9.0411

18.
! NdTh2Se4 | Alexandria | PBE | optimized geometry; values from VASP
! Space-group type: Cmcm (63)
! ρ, Mg/m³: 7.7
! Crystal system: orthorhombic
! Offset from the most stable computed form, eV per atom: 0.025
! E_form (uncorrected), eV/atom: -1.64
&SYSTEM
  ibrav = 0, nat = 14, ntyp = 3
/
ATOMIC_SPECIES
Nd 144.24 Nd.upf
Se 78.96 Se.upf
Th 232.04 Th.upf
CELL_PARAMETERS angstrom
4.0327 0.0000 0.0000
-2.0163 6.8172 0.0000
0.0000 0.0000 14.5165
ATOMIC_POSITIONS angstrom
Nd 2.0163 1.5623 10.8874
Se 2.0163 3.9006 1.8950
Se 2.0163 6.1649 10.8874
Nd 0.0000 5.2549 3.6291
Se 2.0163 0.0000 0.0000
Se 0.0000 2.9165 9.1532
Se 2.0163 0.0000 7.2582
Se 0.0000 0.6523 3.6291
Se 2.0163 3.9006 5.3633
Th 0.0000 1.9468 0.9334
Th 0.0000 1.9468 6.3248
Th 2.0163 4.8704 8.1917
Se 0.0000 2.9165 12.6215
Th 2.0163 4.8704 13.5830

19.
! Nd4ThSe7 | Alexandria | PBE | optimized geometry; values from VASP
! Space-group type: Cm (8)
! ρ, Mg/m³: 6.5
! Crystal system: monoclinic
! E_form (uncorrected), eV/atom: -1.82
&SYSTEM
  ibrav = 0, nat = 12, ntyp = 3
/
ATOMIC_SPECIES
Nd 144.24 Nd.upf
Se 78.96 Se.upf
Th 232.04 Th.upf
CELL_PARAMETERS angstrom
4.1130 0.0000 0.0000
-2.0565 6.7209 -1.7647
0.0000 0.0213 12.5227
ATOMIC_POSITIONS angstrom
Nd 2.0565 6.7056 -1.7602
Nd 0.0000 1.5325 4.8863
Se 0.0000 3.5108 7.2387
Se 0.0000 6.7146 4.4973
Nd 0.0000 4.0269 1.2580
Se 2.0565 2.1414 0.0617
Nd 2.0565 2.7363 9.5260
Se 2.0565 6.1640 1.0893
Th 2.0565 5.1859 5.8597
Se 0.0000 0.5566 9.6391
Se 2.0565 3.2917 3.5361
Se 0.0000 4.5972 10.6897

20.
! Nd5ThSe6 | Alexandria | PBE | optimized geometry; values from VASP
! Space-group type: C2/m (12)
! ρ, Mg/m³: 7.4
! Crystal system: monoclinic
! E_form (uncorrected), eV/atom: -1.79
&SYSTEM
  ibrav = 0, nat = 12, ntyp = 3
/
ATOMIC_SPECIES
Th 232.04 Th.upf
Se 78.96 Se.upf
Nd 144.24 Nd.upf
CELL_PARAMETERS angstrom
7.1889 -0.1269 -1.3591
-3.8969 6.0424 -1.3591
0.1413 0.2539 7.3360
ATOMIC_POSITIONS angstrom
Th 0.0000 0.0000 0.0000
Se -0.9825 2.5543 1.1471
Nd 5.3748 1.0490 2.3089
Nd 1.7167 3.0848 2.3089
Se 0.7448 5.6582 3.4706
Se 2.5135 4.5165 -0.2018
Nd -0.2034 3.9870 -1.3591
Se 0.9199 1.6530 4.8195
Se 2.6886 0.5113 1.1471
Se 4.4159 3.6152 3.4706
Nd 3.4955 1.9286 -1.3591
Nd -1.9414 5.1205 2.3089